Record 1
This record from the Alexandria database describes NaYTiAg2 after structural relaxation. The functional is PBE.

Cell lengths 5.009, 5.009, 5.086 Å; angles 90.00, 90.00, 90.00 degrees
Sites, in units of the cell vectors:
Na 0.000 0.000 0.000
Y 0.500 0.500 0.000
Ti 0.000 0.000 0.500
Ag 0.000 0.500 0.500
Ag 0.500 0.000 0.500

Properties
M_tot = 1.1 μB per formula unit
Crystal system = tetragonal
Calculated formation energy = 719 meV per atom

---

Record 2
This record from the Alexandria database describes PmUPa2As4 after structural relaxation. The functional is PBE.

Cell lengths 7.128, 4.113, 7.176 Å; angles 90.00, 109.30, 90.00 degrees
Sites, in units of the cell vectors:
Pm 0.000 0.000 0.000
U 0.000 0.500 0.500
Pa 0.500 0.000 0.500
Pa 0.500 0.500 0.000
As 0.253 0.000 0.748
As 0.256 0.500 0.256
As 0.744 0.500 0.744
As 0.747 0.000 0.252

Properties
M_tot = 3.1 μB per formula unit
Crystal system = monoclinic
Calculated formation energy = -1080 meV per atom

---

Record 3
This record from the Alexandria database describes AcEr2Cd2In2 after structural relaxation. The functional is PBE.

Cell lengths 9.623, 9.623, 9.623 Å; angles 30.25, 30.25, 30.25 degrees
Sites, in units of the cell vectors:
Ac 0.000 0.000 0.000
Er 0.135 0.135 0.135
Er 0.865 0.865 0.865
Cd 0.433 0.433 0.433
Cd 0.567 0.567 0.567
In 0.258 0.258 0.258
In 0.742 0.742 0.742

Properties
M_tot = 0.0 μB per formula unit
Crystal system = trigonal
Calculated formation energy = -281 meV per atom

---

Record 4
This record from the Alexandria database describes ErPaTl2 after structural relaxation. The functional is PBE.

Cell lengths 3.401, 3.401, 9.092 Å; angles 90.00, 90.00, 90.00 degrees
Sites, in units of the cell vectors:
Er 0.000 0.000 0.000
Pa 0.000 0.000 0.500
Tl 0.500 0.500 0.244
Tl 0.500 0.500 0.756

Properties
M_tot = 1.5 μB per formula unit
Crystal system = tetragonal
Calculated formation energy = -22 meV per atom
ΔE to the lowest computed polymorph = 0.000 eV per atom

---

Record 5
This record from the Alexandria database describes Ca3NiP2 after structural relaxation. The functional is PBE.

Cell lengths 11.128, 4.084, 11.469 Å; angles 90.00, 90.00, 90.00 degrees
Sites, in units of the cell vectors:
Ca 0.061 0.250 0.122
Ca 0.120 0.750 0.554
Ca 0.205 0.250 0.806
Ca 0.295 0.750 0.306
Ca 0.380 0.250 0.054
Ca 0.439 0.750 0.622
Ca 0.561 0.250 0.378
Ca 0.620 0.750 0.946
Ca 0.705 0.250 0.694
Ca 0.795 0.750 0.194
Ca 0.880 0.250 0.446
Ca 0.939 0.750 0.878
Ni 0.129 0.250 0.363
Ni 0.371 0.750 0.863
Ni 0.629 0.250 0.137
Ni 0.871 0.750 0.637
P 0.033 0.750 0.315
P 0.198 0.750 0.984
P 0.302 0.250 0.484
P 0.467 0.250 0.815
P 0.533 0.750 0.185
P 0.698 0.750 0.516
P 0.802 0.250 0.016
P 0.967 0.250 0.685

Properties
M_tot = 0.1 μB per formula unit
Crystal system = orthorhombic
Calculated formation energy = -949 meV per atom

---

Record 6
This record from the Alexandria database describes Cu2BrCl after structural relaxation. The functional is PBE.

Cell lengths 7.444, 7.444, 7.444 Å; angles 29.34, 29.34, 29.34 degrees
Sites, in units of the cell vectors:
Cu 0.000 0.000 0.000
Cu 0.258 0.258 0.258
Br 0.540 0.540 0.540
Cl 0.708 0.708 0.708

Properties
M_tot = 0.0 μB per formula unit
E_form (uncorrected) = -0.253 eV per atom
Crystal system = trigonal
ΔE to the lowest computed polymorph = 0.052 eV per atom

---

Record 7
This record from the Alexandria database describes Pm3Zn3Cd8 after structural relaxation. The functional is PBE.

Cell lengths 8.701, 8.701, 8.701 Å; angles 146.97, 113.81, 75.99 degrees
Sites, in units of the cell vectors:
Pm 0.000 0.000 0.000
Pm 0.285 0.285 0.000
Pm 0.715 0.715 0.000
Zn 0.359 0.500 0.859
Zn 0.500 0.000 0.500
Zn 0.641 0.500 0.141
Cd 0.005 0.359 0.646
Cd 0.156 0.861 0.295
Cd 0.287 0.641 0.646
Cd 0.434 0.139 0.295
Cd 0.566 0.861 0.705
Cd 0.713 0.359 0.354
Cd 0.844 0.139 0.705
Cd 0.995 0.641 0.354

Properties
M_tot = 0.0 μB per formula unit
Crystal system = orthorhombic
Calculated formation energy = -240 meV per atom

---

Record 8
This record from the Alexandria database describes Nd4Al2O after structural relaxation. The functional is PBE.

Cell lengths 8.863, 8.863, 8.863 Å; angles 148.59, 148.59, 45.01 degrees
Sites, in units of the cell vectors:
Nd 0.000 0.500 0.500
Nd 0.173 0.173 0.000
Nd 0.500 0.000 0.500
Nd 0.827 0.827 0.000
Al 0.365 0.365 0.000
Al 0.635 0.635 0.000
O 0.000 0.000 0.000

Properties
M_tot = 0.0 μB per formula unit
E_form (uncorrected) = -0.924 eV per atom
Crystal system = tetragonal

---

Record 9
This record from the Alexandria database describes ScU3Se6 after structural relaxation. The functional is PBE.

Cell lengths 8.766, 8.766, 6.909 Å; angles 90.00, 90.00, 101.32 degrees
Sites, in units of the cell vectors:
Sc 0.161 0.839 0.500
Sc 0.839 0.161 0.000
U 0.077 0.281 0.509
U 0.281 0.077 0.009
U 0.399 0.601 0.126
U 0.601 0.399 0.626
U 0.719 0.923 0.509
U 0.923 0.719 0.009
Se 0.004 0.996 0.255
Se 0.093 0.574 0.310
Se 0.238 0.762 0.848
Se 0.301 0.372 0.818
Se 0.372 0.301 0.318
Se 0.426 0.907 0.310
Se 0.574 0.093 0.810
Se 0.628 0.699 0.818
Se 0.699 0.628 0.318
Se 0.762 0.238 0.348
Se 0.907 0.426 0.810
Se 0.996 0.004 0.755

Properties
M_tot = 9.0 μB per formula unit
E_form (uncorrected) = -1.195 eV per atom
Crystal system = orthorhombic
ΔE to the lowest computed polymorph = 0.000 eV per atom

---

Record 10
This record from the Alexandria database describes SrCa2SN after structural relaxation. The functional is PBE.

Cell lengths 5.114, 5.114, 5.872 Å; angles 90.00, 90.00, 90.00 degrees
Sites, in units of the cell vectors:
Sr 0.000 0.000 0.000
Ca 0.000 0.500 0.500
Ca 0.500 0.000 0.500
S 0.500 0.500 0.500
N 0.500 0.500 0.000

Properties
M_tot = 0.0 μB per formula unit
E_form (uncorrected) = 0.201 eV per atom
Crystal system = tetragonal

---

Record 11
This record from the Alexandria database describes AsOs3O after structural relaxation. The functional is PBE.

Cell lengths 4.563, 4.563, 4.563 Å; angles 90.00, 90.00, 90.00 degrees
Sites, in units of the cell vectors:
As 0.000 0.000 0.000
Os 0.000 0.000 0.500
Os 0.000 0.500 0.000
Os 0.500 0.000 0.000
O 0.500 0.500 0.500

Properties
M_tot = 4.8 μB per formula unit
E_form (uncorrected) = 2.389 eV per atom
Crystal system = cubic
ΔE to the lowest computed polymorph = 1.272 eV per atom

---

Record 12
This record from the Alexandria database describes TbSm2InO after structural relaxation. The functional is PBE.

Cell lengths 4.916, 4.916, 4.796 Å; angles 90.00, 90.00, 90.00 degrees
Sites, in units of the cell vectors:
Tb 0.000 0.000 0.000
Sm 0.000 0.500 0.500
Sm 0.500 0.000 0.500
In 0.500 0.500 0.000
O 0.000 0.000 0.500

Properties
M_tot = 0.0 μB per formula unit
E_form (uncorrected) = -1.426 eV per atom
Crystal system = tetragonal

---

Please write out number 7 again, unchanged.
This record from the Alexandria database describes Pm3Zn3Cd8 after structural relaxation. The functional is PBE.

Cell lengths 8.701, 8.701, 8.701 Å; angles 146.97, 113.81, 75.99 degrees
Sites, in units of the cell vectors:
Pm 0.000 0.000 0.000
Pm 0.285 0.285 0.000
Pm 0.715 0.715 0.000
Zn 0.359 0.500 0.859
Zn 0.500 0.000 0.500
Zn 0.641 0.500 0.141
Cd 0.005 0.359 0.646
Cd 0.156 0.861 0.295
Cd 0.287 0.641 0.646
Cd 0.434 0.139 0.295
Cd 0.566 0.861 0.705
Cd 0.713 0.359 0.354
Cd 0.844 0.139 0.705
Cd 0.995 0.641 0.354

Properties
M_tot = 0.0 μB per formula unit
Crystal system = orthorhombic
Calculated formation energy = -240 meV per atom